[1]
DFT (GGA-PBE) results for a geometry-optimized V6CuNi12 structure. Values from VASP.

```
&SYSTEM
  ibrav = 0, nat = 19, ntyp = 3
/
ATOMIC_SPECIES
V 50.94 V.upf
Cu 63.55 Cu.upf
Ni 58.69 Ni.upf
CELL_PARAMETERS angstrom
6.086 0.385 0.461
-0.542 6.074 0.461
-0.542 -0.632 6.058
ATOMIC_POSITIONS angstrom
V 3.740 5.476 2.362
V 4.238 1.926 1.171
V 0.156 4.311 2.104
V 1.261 0.351 4.618
V 0.763 3.901 5.810
V 4.846 1.515 4.876
Cu 0.000 0.000 0.000
Ni 4.327 3.221 3.284
Ni 1.969 4.679 3.756
Ni 2.528 2.380 5.275
Ni 0.674 2.606 3.696
Ni 3.032 1.147 3.224
Ni 2.473 3.447 1.705
Ni -0.037 0.667 2.323
Ni 4.336 3.553 6.502
Ni 2.854 5.535 5.909
Ni 5.038 5.160 4.657
Ni 0.665 2.274 0.479
Ni 2.147 0.292 1.071
```

Values from the calculation:
M_tot = 5.2 μB per cell
calculated total energy = -6.75 eV/atom
formation enthalpy at 0 K = 0.8 meV/atom

=====

[2]
DFT (GGA-PBE) results for a geometry-optimized V3Cu2Ni8 structure. Values from VASP.

```
&SYSTEM
  ibrav = 0, nat = 13, ntyp = 3
/
ATOMIC_SPECIES
V 50.94 V.upf
Cu 63.55 Cu.upf
Ni 58.69 Ni.upf
CELL_PARAMETERS angstrom
4.621 0.000 0.000
2.310 4.002 0.000
2.310 1.334 8.753
ATOMIC_POSITIONS angstrom
V 0.000 0.000 0.000
V 6.931 4.001 4.898
V 2.310 1.334 3.854
Cu 4.621 2.668 0.752
Cu 4.621 2.668 8.001
Ni 6.931 4.002 7.199
Ni 2.310 1.334 1.554
Ni 3.465 3.335 2.802
Ni 4.621 1.333 2.802
Ni 5.776 3.335 2.802
Ni 4.621 4.002 5.950
Ni 5.776 2.000 5.950
Ni 3.465 2.000 5.950
```

Values from the calculation:
M_tot = 2.6 μB per cell
calculated total energy = -6.17 eV/atom
formation enthalpy at 0 K = 123.9 meV/atom

=====

[3]
DFT (GGA-PBE) results for a geometry-optimized VCu3Ni4 structure. Values from VASP.

```
&SYSTEM
  ibrav = 0, nat = 8, ntyp = 3
/
ATOMIC_SPECIES
Ni 58.69 Ni.upf
Cu 63.55 Cu.upf
V 50.94 V.upf
CELL_PARAMETERS angstrom
-2.875 2.145 0.565
-1.946 -1.990 -2.332
0.366 -4.196 6.107
ATOMIC_POSITIONS angstrom
Ni -1.550 -3.117 3.953
Ni -2.906 -0.924 0.387
Ni -0.495 -1.001 1.271
Ni -3.960 -3.040 3.069
Cu -0.973 -0.995 -1.166
Cu -2.471 -1.007 2.920
Cu -1.985 -3.034 1.420
V -1.438 1.073 0.283
```

Values from the calculation:
M_tot = 0.0 μB per cell
calculated total energy = -5.62 eV/atom
formation enthalpy at 0 K = -56.8 meV/atom

=====

[4]
DFT (GGA-PBE) results for a geometry-optimized VCu2Ni2 structure. Values from VASP.

```
&SYSTEM
  ibrav = 0, nat = 10, ntyp = 3
/
ATOMIC_SPECIES
Ni 58.69 Ni.upf
Cu 63.55 Cu.upf
V 50.94 V.upf
CELL_PARAMETERS angstrom
6.827 0.000 0.000
0.000 6.827 0.000
0.000 0.000 2.593
ATOMIC_POSITIONS angstrom
Ni 1.183 4.597 1.297
Ni 4.597 5.644 1.297
Ni 5.644 2.230 1.297
Ni 2.230 1.183 1.297
Cu 2.561 5.975 0.000
Cu 5.975 4.265 0.000
Cu 4.265 0.852 0.000
Cu 0.852 2.561 0.000
V 0.000 0.000 0.000
V 3.413 3.413 0.000
```

Values from the calculation:
M_tot = 2.1 μB per cell
calculated total energy = -5.60 eV/atom
formation enthalpy at 0 K = 170.5 meV/atom
polymorph energy (0 for the lowest one) = 4 meV per atom